Here is a relaxed structure of Tb2CoO from Alexandria via LeMat-Bulk. Energies are from PBE with a Hubbard U.

Structure (CIF):
```
data_Tb2CoO
_symmetry_space_group_name_H-M 'R -3 m'
_symmetry_Int_Tables_number 166
_symmetry_space_group_name_Hall '-R 3 2"'
_cell_length_a 3.3836
_cell_length_b 3.3836
_cell_length_c 24.7836
_cell_angle_alpha 90.00
_cell_angle_beta 90.00
_cell_angle_gamma 120.00
loop_
_atom_site_label
_atom_site_type_symbol
_atom_site_fract_x
_atom_site_fract_y
_atom_site_fract_z
Tb1 Tb 0.0000 0.0000 0.1101
Co1 Co 0.0000 0.0000 0.0000
O1 O 0.0000 0.0000 0.5000
```

Summary:
- Crystal system: trigonal
- Final energy: -5.594 eV per atom
- Spin magnetization: 1.227 μB/f.u.